HfTi6Ga4: relaxed, GGA-PBE.

a = 6.7086 Å, b = 6.7086 Å, c = 6.7086 Å
α = 85.43°, β = 122.68°, γ = 122.68°
Last column: nearest neighbours and their distance in Å.
Fractional coordinates of all 11 atoms:
Ti: 0.6177 0.0975 0.0975  4 Ga 2.49-2.78
Ti: 0.3823 0.4798 0.4798  4 Ga 2.49-2.78
Ti: 0.5000 0.0000 0.5000  4 Ga 2.49
Ga: 0.3410 0.7406 0.7406  6 Ti 2.49-2.78, 2 Ga 2.59
Ga: 0.0000 0.2594 0.6004  6 Ti 2.49-2.78, 2 Ga 2.59
Ti: 0.0000 0.5202 0.9025  4 Ga 2.49-2.78
Hf: 0.0000 0.0000 0.0000  4 Ga 3.08, 8 Ti 3.22-3.33
Ti: 0.5000 0.5000 0.0000  4 Ga 2.49
Ga: 0.0000 0.6004 0.2594  6 Ti 2.49-2.78, 2 Ga 2.59
Ti: 0.0000 0.9025 0.5202  4 Ga 2.49-2.78
Ga: 0.6590 0.3996 0.3996  6 Ti 2.49-2.78, 2 Ga 2.59

Calculated values
* energy: -6.325 eV per atom
* total magnetic moment: 0.76 Bohr magnetons per cell
* formation energy from the elements: -13 meV per atom